(1)
# La5Tb4Pr2

An optimized crystal structure of La5Tb4Pr2 (PBE, Alexandria via LeMat-Bulk).

a b c (Å): 18.139 3.592 11.870
angles (deg): 90.00 93.79 90.00
Space group C2/m (No. 12)
Symmetry-distinct sites (fractional):
La 0.000 0.000 0.000 x2
La 0.095 0.500 0.534 x4
La 0.176 0.500 0.073 x4
Tb 0.032 0.500 0.260 x4
Tb 0.140 0.000 0.800 x4
Pr 0.217 0.000 0.351 x4

## Properties
Total magnetization (μB per cell): 0.00
Offset from the most stable computed form (meV/atom): 0.0
Energy relative to the elements (meV per atom): 68.3
D(E_F) (states/eV per cell): 33.18

(2)
# La2Tb6Pr5

An optimized crystal structure of La2Tb6Pr5 (PBE, Alexandria via LeMat-Bulk).

a b c (Å): 11.866 20.933 3.648
angles (deg): 90.00 90.00 90.00
Space group Pbam (No. 55)
Symmetry-distinct sites (fractional):
La 0.178 0.225 0.000 x4
Tb 0.067 0.929 0.000 x4
Tb 0.070 0.640 0.000 x4
Tb 0.185 0.376 0.500 x4
Pr 0.000 0.500 0.500 x2
Pr 0.080 0.786 0.500 x4
Pr 0.200 0.059 0.500 x4

## Properties
Total magnetization (μB per cell): 0.00
Energy relative to the elements (meV per atom): 88.7
D(E_F) (states/eV per cell): 35.82

(3)
# La12Tb5Pr

An optimized crystal structure of La12Tb5Pr (PBE, Alexandria via LeMat-Bulk).

a b c (Å): 19.158 10.989 6.398
angles (deg): 90.00 109.16 90.00
Space group C2/m (No. 12)
Symmetry-distinct sites (fractional):
La 0.000 0.168 0.000 x4
La 0.000 0.328 0.500 x4
La 0.167 0.170 0.834 x8
La 0.167 0.329 0.335 x8
Tb 0.000 0.000 0.500 x2
Tb 0.167 0.000 0.334 x4
Tb 0.167 0.500 0.832 x4
Pr 0.000 0.500 0.000 x2

## Properties
Total magnetization (μB per cell): 0.00
Energy relative to the elements (meV per atom): 19.1
D(E_F) (states/eV per cell): 60.05

(4)
# LaTb5Pr6

An optimized crystal structure of LaTb5Pr6 (PBE, Alexandria via LeMat-Bulk).

a b c (Å): 5.180 9.658 9.671
angles (deg): 64.49 74.47 74.53
Space group P-1 (No. 2)
Symmetry-distinct sites (fractional):
La 0.000 0.000 0.000 x1
Tb 0.000 0.500 0.500 x1
Tb 0.332 0.168 0.168 x2
Tb 0.333 0.667 0.667 x2
Pr 0.167 0.085 0.582 x2
Pr 0.167 0.582 0.085 x2
Pr 0.500 0.253 0.747 x2

## Properties
Total magnetization (μB per cell): 0.00
Energy relative to the elements (meV per atom): 17.7
D(E_F) (states/eV per cell): 18.39

(5)
# La3Tb2Pr3

An optimized crystal structure of La3Tb2Pr3 (PBE, Alexandria via LeMat-Bulk).

a b c (Å): 5.223 5.229 20.767
angles (deg): 90.00 90.00 90.00
Space group Immm (No. 71)
Symmetry-distinct sites (fractional):
La 0.000 0.000 0.000 x2
La 0.000 0.500 0.127 x4
Tb 0.000 0.000 0.249 x4
Pr 0.000 0.000 0.500 x2
Pr 0.000 0.500 0.371 x4

## Properties
Total magnetization (μB per cell): 0.00
Offset from the most stable computed form (meV/atom): 0.0
Energy relative to the elements (meV per atom): 17.3
D(E_F) (states/eV per cell): 27.16

(6)
# LaTb2Pr5

An optimized crystal structure of LaTb2Pr5 (PBE, Alexandria via LeMat-Bulk).

a b c (Å): 3.646 11.465 13.614
angles (deg): 90.00 90.00 90.00
Space group Immm (No. 71)
Symmetry-distinct sites (fractional):
La 0.000 0.000 0.000 x2
Tb 0.000 0.500 0.256 x4
Pr 0.000 0.231 0.368 x8
Pr 0.000 0.500 0.000 x2

## Properties
Total magnetization (μB per cell): 0.00
Offset from the most stable computed form (meV/atom): 18.5
Energy relative to the elements (meV per atom): 30.1
D(E_F) (states/eV per cell): 22.55

(7)
# La3Tb4Pr4

An optimized crystal structure of La3Tb4Pr4 (PBE, Alexandria via LeMat-Bulk).

a b c (Å): 3.646 9.618 22.521
angles (deg): 90.00 90.00 90.00
Space group Immm (No. 71)
Symmetry-distinct sites (fractional):
La 0.000 0.000 0.000 x2
La 0.000 0.500 0.109 x4
Tb 0.000 0.000 0.259 x4
Tb 0.000 0.182 0.500 x4
Pr 0.000 0.321 0.353 x8

## Properties
Total magnetization (μB per cell): 0.00
Offset from the most stable computed form (meV/atom): 0.0
Energy relative to the elements (meV per atom): 128.8
D(E_F) (states/eV per cell): 30.72

(8)
# La3Tb3Pr

An optimized crystal structure of La3Tb3Pr (PBE, Alexandria via LeMat-Bulk).

a b c (Å): 9.5592 9.5592 18.9617
angles (deg): 90.00 90.00 120.00
Space group R-3 (No. 148, hexagonal axes)
Symmetry-distinct sites (fractional):
La 0.0492 0.8080 0.0773 x18
Tb 0.0491 0.8139 0.2600 x18
Pr 0.0000 0.0000 0.4089 x6

## Properties
Total magnetization (μB per cell): 0.00
Offset from the most stable computed form (meV/atom): 90.4
Energy relative to the elements (meV per atom): 126.4
D(E_F) (states/eV per cell): 56.62

(9)
# La5Tb3Pr3

An optimized crystal structure of La5Tb3Pr3 (PBE, Alexandria via LeMat-Bulk).

a b c (Å): 6.397 8.225 8.243
angles (deg): 107.23 104.96 97.54
Space group P1 (No. 1)
Symmetry-distinct sites (fractional):
La 0.000 0.000 0.000 x1
La 0.090 0.816 0.364 x1
La 0.456 0.089 0.816 x1
La 0.637 0.721 0.544 x1
La 0.727 0.544 0.906 x1
Tb 0.183 0.631 0.724 x1
Tb 0.363 0.273 0.452 x1
Tb 0.819 0.361 0.275 x1
Pr 0.273 0.452 0.092 x1
Pr 0.543 0.909 0.181 x1
Pr 0.910 0.184 0.633 x1

## Properties
Total magnetization (μB per cell): 0.00
Energy relative to the elements (meV per atom): 19.2
D(E_F) (states/eV per cell): 19.41

(10)
# La14TbPr

An optimized crystal structure of La14TbPr (PBE, Alexandria via LeMat-Bulk).

a b c (Å): 11.960 11.676 8.320
angles (deg): 90.00 90.00 90.00
Space group Amm2 (No. 38)
Symmetry-distinct sites (fractional):
La 0.000 0.000 0.000 x2
La 0.000 0.000 0.433 x2
La 0.000 0.214 0.730 x4
La 0.248 0.215 0.017 x8
La 0.251 0.000 0.308 x4
La 0.257 0.000 0.741 x4
La 0.500 0.224 0.734 x4
Tb 0.500 0.000 0.027 x2
Pr 0.500 0.000 0.454 x2

## Properties
Total magnetization (μB per cell): 0.00
Energy relative to the elements (meV per atom): 77.7
D(E_F) (states/eV per cell): 56.26

(11)
# LaTb2Pr4

An optimized crystal structure of LaTb2Pr4 (PBE, Alexandria via LeMat-Bulk).

a b c (Å): 5.790 5.790 16.948
angles (deg): 90.00 90.00 90.00
Space group I4/mmm (No. 139)
Symmetry-distinct sites (fractional):
La 0.000 0.000 0.000 x2
Tb 0.000 0.000 0.390 x4
Pr 0.000 0.000 0.185 x4
Pr 0.000 0.500 0.000 x4

## Properties
Total magnetization (μB per cell): 0.01
Offset from the most stable computed form (meV/atom): 555.7
Energy relative to the elements (meV per atom): 616.8
D(E_F) (states/eV per cell): 24.99

(12)
# LaTb3Pr5

An optimized crystal structure of LaTb3Pr5 (PBE, Alexandria via LeMat-Bulk).

a b c (Å): 18.912 6.599 11.439
angles (deg): 90.00 113.78 90.00
Space group C2/c (No. 15)
Symmetry-distinct sites (fractional):
La 0.000 0.140 0.250 x4
Tb 0.000 0.000 0.000 x4
Tb 0.161 0.299 0.514 x8
Pr 0.000 0.400 0.750 x4
Pr 0.168 0.304 0.209 x8
Pr 0.169 0.175 0.865 x8

## Properties
Total magnetization (μB per cell): 0.00
Offset from the most stable computed form (meV/atom): 0.0
Energy relative to the elements (meV per atom): 263.1
D(E_F) (states/eV per cell): 55.04

(13)
# La8Tb5Pr

An optimized crystal structure of La8Tb5Pr (PBE, Alexandria via LeMat-Bulk).

a b c (Å): 9.793 9.793 10.523
angles (deg): 90.00 90.00 90.00
Space group I-4 (No. 82)
Symmetry-distinct sites (fractional):
La 0.070 0.328 0.402 x8
La 0.086 0.184 0.748 x8
Tb 0.000 0.000 0.500 x2
Tb 0.106 0.202 0.073 x8
Pr 0.000 0.500 0.750 x2

## Properties
Total magnetization (μB per cell): 0.00
Energy relative to the elements (meV per atom): 222.4
D(E_F) (states/eV per cell): 43.81

(14)
# La4Tb3Pr

An optimized crystal structure of La4Tb3Pr (PBE, Alexandria via LeMat-Bulk).

a b c (Å): 11.833 7.409 6.433
angles (deg): 90.00 90.00 90.00
Space group Pmn2_1 (No. 31)
Symmetry-distinct sites (fractional):
La 0.000 0.128 0.000 x2
La 0.000 0.871 0.514 x2
La 0.245 0.125 0.334 x4
Tb 0.000 0.379 0.503 x2
Tb 0.250 0.379 0.835 x4
Pr 0.000 0.626 0.004 x2

## Properties
Total magnetization (μB per cell): 0.00
Offset from the most stable computed form (meV/atom): 0.0
Energy relative to the elements (meV per atom): 33.5
D(E_F) (states/eV per cell): 27.52

(15)
# La8TbPr6

An optimized crystal structure of La8TbPr6 (PBE, Alexandria via LeMat-Bulk).

a b c (Å): 10.1225 10.1225 18.4777
angles (deg): 90.00 90.00 120.00
Space group R-3 (No. 148, hexagonal axes)
Symmetry-distinct sites (fractional):
La 0.0000 0.0000 0.0853 x6
La 0.0556 0.2386 0.6697 x18
Tb 0.0000 0.0000 0.5000 x3
Pr 0.0427 0.2843 0.1748 x18

## Properties
Total magnetization (μB per cell): 0.00
Offset from the most stable computed form (meV/atom): 15.2
Energy relative to the elements (meV per atom): 123.7
D(E_F) (states/eV per cell): 76.89

(16)
# La5TbPr4

An optimized crystal structure of La5TbPr4 (PBE, Alexandria via LeMat-Bulk).

a b c (Å): 6.670 6.925 8.558
angles (deg): 78.29 71.00 86.75
Space group P-1 (No. 2)
Symmetry-distinct sites (fractional):
La 0.000 0.000 0.000 x1
La 0.105 0.767 0.445 x2
La 0.343 0.365 0.698 x2
Tb 0.500 0.000 0.000 x1
Pr 0.210 0.477 0.108 x2
Pr 0.468 0.834 0.678 x2

## Properties
Total magnetization (μB per cell): 0.00
Offset from the most stable computed form (meV/atom): 0.0
Energy relative to the elements (meV per atom): 114.0
D(E_F) (states/eV per cell): 15.80

(17)
# LaTb7Pr12

An optimized crystal structure of LaTb7Pr12 (PBE, Alexandria via LeMat-Bulk).

a b c (Å): 17.2437 17.2437 8.3293
angles (deg): 90.00 90.00 120.00
Space group R-3m (No. 166, hexagonal axes)
Symmetry-distinct sites (fractional):
La 0.0000 0.0000 0.0000 x3
Tb 0.0000 0.0000 0.5000 x3
Tb 0.1103 0.2206 0.7235 x18
Pr 0.0000 0.2856 0.0000 x18
Pr 0.1064 0.5532 0.9649 x18

## Properties
Total magnetization (μB per cell): 0.00
Offset from the most stable computed form (meV/atom): 0.0
Energy relative to the elements (meV per atom): 204.2
D(E_F) (states/eV per cell): 88.08

(18)
# La7Tb2Pr3

An optimized crystal structure of La7Tb2Pr3 (PBE, Alexandria via LeMat-Bulk).

a b c (Å): 6.051 3.653 19.611
angles (deg): 90.00 93.42 90.00
Space group P2/m (No. 10)
Symmetry-distinct sites (fractional):
La 0.000 0.000 0.000 x1
La 0.184 0.500 0.182 x2
La 0.255 0.500 0.534 x2
La 0.318 0.000 0.853 x2
Tb 0.286 0.500 0.703 x2
Pr 0.224 0.000 0.364 x2
Pr 0.500 0.500 0.000 x1

## Properties
Total magnetization (μB per cell): 0.00
Offset from the most stable computed form (meV/atom): 16.5
Energy relative to the elements (meV per atom): 79.9
D(E_F) (states/eV per cell): 18.98

(19)
# La5Tb2Pr

An optimized crystal structure of La5Tb2Pr (PBE, Alexandria via LeMat-Bulk).

a b c (Å): 3.652 11.427 13.661
angles (deg): 90.00 90.00 90.00
Space group Immm (No. 71)
Symmetry-distinct sites (fractional):
La 0.000 0.000 0.000 x2
La 0.000 0.268 0.370 x8
Tb 0.000 0.000 0.257 x4
Pr 0.000 0.500 0.000 x2

## Properties
Total magnetization (μB per cell): 0.00
Offset from the most stable computed form (meV/atom): 0.0
Energy relative to the elements (meV per atom): 27.7
D(E_F) (states/eV per cell): 23.73